No. 1
An optimized crystal structure of Co2AgS. Source: Alexandria via LeMat-Bulk, functional GGA-PBE.

POSCAR file:
```
Co2AgS
1.0
-3.2289 3.2289 2.6878
3.2289 -3.2289 2.6878
3.2289 3.2289 -2.6878
Co Ag S
4 2 2
Cartesian
4.8433 1.1055 -0.6720
1.1055 1.6144 0.6720
-1.6144 2.1234 2.0159
2.1234 1.6144 3.3598
3.2289 0.0000 1.3439
0.0000 0.0000 2.6878
0.0000 0.0000 0.0000
0.0000 3.2289 1.3439
```

Computed properties:
* magnetization: 0.00 μB per formula unit
* symmetry: I-42d, No. 122
* E_form (uncorrected): 0.26 eV/atom
* DOS(E_F): 5.14 states/eV/cell
* energy: -5.041 eV per atom

=====

No. 2
An optimized crystal structure of ZrCr2Re. Source: Alexandria via LeMat-Bulk, functional GGA-PBE.

POSCAR file:
```
ZrCr2Re
1.0
1.5468 -2.2543 0.0000
1.5468 2.2543 0.0000
0.0000 0.0000 8.6127
Zr Cr Re
1 2 1
Cartesian
0.0000 0.0000 0.0000
1.5468 0.0000 2.3195
1.5468 0.0000 6.2933
0.0000 0.0000 4.3064
```

Computed properties:
* magnetization: 0.00 μB per formula unit
* symmetry: Cmmm, No. 65
* distance to the lowest polymorph of the same formula: 223 meV/atom
* DOS(E_F): 3.61 states/eV/cell
* energy relative to the elements: 250.2 meV/atom
* energy: -9.811 eV per atom